This record from the Alexandria database describes a geometry-optimized Tl2CoAu2 structure. The functional is PBE-GGA.

Cell and atoms, written as POSCAR:
```
Tl2CoAu2
1.0
6.900 0.000 0.000
0.000 6.900 0.000
0.000 0.000 4.653
Au Co Tl
4 2 4
Cartesian
5.878 4.472 0.000
2.428 5.878 0.000
4.472 1.022 0.000
1.022 2.428 0.000
3.450 3.450 0.000
0.000 0.000 0.000
1.185 4.635 2.326
4.635 5.715 2.326
2.265 1.185 2.326
5.715 2.265 2.326
```

SG = P4/mbm
electronic total energy = -3.307 eV/atom
formation enthalpy at 0 K = 1.86 eV/f.u.
V = 221.55 Å³ per cell
total magnetization = 3.76 Bohr magnetons per cell